The following is a DFT calculation (PBE-GGA) of a relaxed structure of TePBr.

Geometry as POSCAR:
```
TePBr
1.0
0.000 4.908 6.948
1.795 0.000 6.948
1.795 4.908 0.000
Te P Br
1 1 1
direct
0.000 0.000 0.000 Te
0.623 0.623 0.377 P
0.274 0.274 0.726 Br
```

Calculated values
Its energy is -9.45 eV per cell. For the raw formation energy, the calculation gives 257 meV/atom.